16
Lattice="6.311 0.000 3.615 2.120 5.945 3.615 0.024 0.017 7.276" Properties=species:S:1:pos:R:3 comment="Ce3Pr5N8 (GGA-PBE, optimized geometry)" e_form_raw_ev_per_fu=-22.3 volume_a3_per_atom=17.0 n_ef_per_ev_fu=8.29 total_magnetization_mub_per_atom=0.000 pbc="T T T"
Ce 0.012 0.008 3.638
N 3.217 4.559 9.017
N 5.375 1.499 9.017
N 6.393 4.507 10.789
Ce 3.168 0.008 5.445
Pr 3.156 0.000 1.808
N 6.330 4.463 7.350
Pr 4.228 2.981 7.253
Pr 0.000 0.000 0.000
N 3.080 4.463 5.489
N 2.126 1.499 7.156
N 2.062 1.454 3.717
Pr 1.060 2.972 1.808
Ce 1.072 2.981 5.445
Pr 4.216 2.972 3.615
N 5.238 1.402 5.489


12
Lattice="5.939 0.000 0.009 0.000 8.277 0.000 -4.718 0.000 7.391" Properties=species:S:1:pos:R:3 comment="LaSbSe (GGA-PBE, optimized geometry)" e_form_raw_ev_per_fu=-3.5 volume_a3_per_atom=30.3 n_ef_per_ev_fu=1.27 total_magnetization_mub_per_atom=0.000 pbc="T T T"
La -2.359 6.213 3.696
La 0.000 6.202 0.000
Sb -0.062 0.000 5.097
Se 4.175 0.000 1.539
Se -2.954 0.000 5.861
Sb 1.283 0.000 2.302
Sb 2.297 4.138 1.402
Se 1.816 4.138 5.234
Se -0.595 4.138 2.165
La -2.359 2.064 3.696
Sb -1.076 4.138 5.998
La 0.000 2.075 0.000


12
Lattice="7.294 -0.174 -0.003 -0.151 6.975 -0.009 0.006 0.009 8.893" Properties=species:S:1:pos:R:3 comment="ThInGa2Br8 (GGA-PBE, optimized geometry)" e_form_raw_ev_per_fu=-12.5 volume_a3_per_atom=37.7 n_ef_per_ev_fu=4.30 total_magnetization_mub_per_atom=0.000 pbc="T T T"
Br 2.251 1.725 8.890
Br 4.943 5.013 4.438
Br 4.897 5.085 -0.009
Th 0.000 0.000 0.000
Br 6.102 1.380 6.774
Ga 3.575 3.406 6.493
In 0.003 0.004 4.447
Br 2.206 1.797 4.443
Ga 3.573 3.403 2.388
Br 1.047 5.429 2.107
Br 6.099 1.376 2.111
Br 1.050 5.434 6.770


6
Lattice="-0.077 5.237 1.618 -1.725 1.512 -4.978 -6.394 -0.712 1.999" Properties=species:S:1:pos:R:3 comment="KTeP (GGA-PBE, optimized geometry)" e_form_raw_ev_per_fu=-0.4 volume_a3_per_atom=33.7 total_magnetization_mub_per_atom=0.000 pbc="T T T"
K -4.144 2.161 2.092
K -3.151 0.501 -1.773
P 0.000 0.000 0.000
Te -6.530 0.125 -0.717
P -0.901 3.374 -1.680
Te -0.765 2.537 1.036